w:
5
Lattice="4.234 0.000 0.000 0.000 4.234 0.000 0.000 0.000 3.381" Properties=species:S:1:pos:R:3 comment="Ti2CuTcH (PBE-GGA, optimized geometry)" dos_ef_per_ev_cell=2.528 spacegroup=P4/mmm pbc="T T T"
H 0.000 0.000 0.000
Tc 2.117 2.117 1.690
Cu 0.000 0.000 1.690
Ti 0.000 2.117 0.000
Ti 2.117 0.000 0.000

***

x:
5
Lattice="-3.829 -1.164 -1.098 -0.384 -2.095 3.561 -1.344 2.932 1.580" Properties=species:S:1:pos:R:3 comment="Ti2CuTcH (PBE-GGA, optimized geometry)" dos_ef_per_ev_cell=3.841 spacegroup=P4/mmm pbc="T T T"
H 0.000 0.000 0.000
Tc -0.672 1.466 0.790
Cu -2.779 -0.163 2.022
Ti -0.192 -1.048 1.781
Ti -1.914 -0.582 -0.549

***

Most stable structure: w